1.
! VSn2Rh8 PBE optimized geometry; values from VASP
&SYSTEM
  ibrav = 0, nat = 11, ntyp = 3
/
ATOMIC_SPECIES
Rh 102.91 Rh.upf
Sn 118.71 Sn.upf
V 50.94 V.upf
ATOMIC_POSITIONS crystal
Rh 0.000 0.745 0.000
Rh 0.827 0.827 0.655
Rh 0.000 0.255 0.000
Rh 0.635 0.396 0.270
Rh 0.636 0.875 0.271
Rh 0.173 0.173 0.345
Rh 0.364 0.125 0.729
Rh 0.365 0.604 0.730
Sn 0.191 0.691 0.382
Sn 0.809 0.309 0.618
V 0.500 0.000 0.000
CELL_PARAMETERS angstrom
-2.731 -1.180 3.310
-3.716 -2.141 -3.829
6.292 -4.349 0.649
! Uncorrected energy = -7.07 eV/atom
! Formation energy = -0.17 eV per atom

=====

2.
! VSn3Rh PBE optimized geometry; values from VASP
&SYSTEM
  ibrav = 0, nat = 5, ntyp = 3
/
ATOMIC_SPECIES
Rh 102.91 Rh.upf
Sn 118.71 Sn.upf
V 50.94 V.upf
ATOMIC_POSITIONS crystal
Rh 0.500 0.500 0.500
Sn 0.000 0.000 0.500
Sn 0.000 0.500 0.000
Sn 0.500 0.000 0.000
V 0.000 0.000 0.000
CELL_PARAMETERS angstrom
-3.190 -0.031 -3.908
-0.566 -4.988 0.501
-3.867 0.755 3.150
! Uncorrected energy = -4.98 eV/atom
! Formation energy = 0.71 eV per atom

=====

3.
! VSn2Rh PBE optimized geometry; values from VASP
&SYSTEM
  ibrav = 0, nat = 4, ntyp = 3
/
ATOMIC_SPECIES
Rh 102.91 Rh.upf
Sn 118.71 Sn.upf
V 50.94 V.upf
ATOMIC_POSITIONS crystal
Rh 0.000 0.000 0.000
Sn 0.089 0.089 0.733
Sn 0.911 0.911 0.267
V 0.500 0.500 0.500
CELL_PARAMETERS angstrom
3.045 0.000 0.000
1.522 2.637 0.000
1.522 0.879 9.661
! Uncorrected energy = -5.81 eV/atom
! Formation energy = 0.31 eV per atom

=====

4.
! VSnRh6 PBE optimized geometry; values from VASP
&SYSTEM
  ibrav = 0, nat = 8, ntyp = 3
/
ATOMIC_SPECIES
Sn 118.71 Sn.upf
Rh 102.91 Rh.upf
V 50.94 V.upf
ATOMIC_POSITIONS crystal
Sn 0.000 0.000 0.000
Rh 0.000 0.500 0.265
Rh 0.500 0.000 0.265
Rh 0.000 0.500 0.735
Rh 0.500 0.000 0.735
Rh 0.500 0.500 0.000
Rh 0.500 0.500 0.500
V 0.000 0.000 0.500
CELL_PARAMETERS angstrom
-1.212 1.759 3.242
-2.763 -2.694 0.429
4.902 -4.359 4.198
! Uncorrected energy = -7.51 eV/atom
! Formation energy = -0.35 eV per atom
! Relative energy among the computed polymorphs = 0.0 meV per atom

=====

5.
! V3SnRh PBE optimized geometry; values from VASP
&SYSTEM
  ibrav = 0, nat = 5, ntyp = 3
/
ATOMIC_SPECIES
Sn 118.71 Sn.upf
Rh 102.91 Rh.upf
V 50.94 V.upf
ATOMIC_POSITIONS crystal
Sn 0.500 0.500 0.500
Rh 0.000 0.000 0.000
V 0.000 0.500 0.000
V 0.000 0.000 0.500
V 0.500 0.000 0.000
CELL_PARAMETERS angstrom
-2.843 -1.393 -3.328
-2.435 -2.385 3.079
-2.661 3.670 0.738
! Uncorrected energy = -6.97 eV/atom
! Formation energy = 0.78 eV per atom
! Relative energy among the computed polymorphs = 0.0 meV per atom

=====

6.
! YVSnRh2 PBE optimized geometry; values from VASP
&SYSTEM
  ibrav = 0, nat = 5, ntyp = 4
/
ATOMIC_SPECIES
Sn 118.71 Sn.upf
Rh 102.91 Rh.upf
Y 88.91 Y.upf
V 50.94 V.upf
ATOMIC_POSITIONS crystal
Sn 0.000 0.000 0.000
Rh 0.500 0.000 0.000
Rh 0.000 0.000 0.500
Y 0.000 0.500 0.000
V 0.500 0.500 0.500
CELL_PARAMETERS angstrom
4.825 0.000 0.000
0.000 5.474 0.000
0.000 0.000 4.825
! Uncorrected energy = -5.65 eV/atom
! Formation energy = 1.21 eV per atom

=====

7.
! SnRh6W PBE optimized geometry; values from VASP
&SYSTEM
  ibrav = 0, nat = 8, ntyp = 3
/
ATOMIC_SPECIES
Rh 102.91 Rh.upf
W 183.84 W.upf
Sn 118.71 Sn.upf
ATOMIC_POSITIONS crystal
Rh 0.500 0.500 0.500
Rh 0.500 0.500 0.000
Rh 0.000 0.500 0.737
Rh 0.000 0.500 0.263
Rh 0.500 0.000 0.737
Rh 0.500 0.000 0.263
W 0.000 0.000 0.500
Sn 0.000 0.000 0.000
CELL_PARAMETERS angstrom
3.906 0.000 0.000
0.000 3.906 0.000
0.000 0.000 7.862
! Uncorrected energy = -7.95 eV/atom
! Formation energy = -0.32 eV per atom

=====

8.
! Sn2RhW2 PBE optimized geometry; values from VASP
&SYSTEM
  ibrav = 0, nat = 10, ntyp = 3
/
ATOMIC_SPECIES
Rh 102.91 Rh.upf
W 183.84 W.upf
Sn 118.71 Sn.upf
ATOMIC_POSITIONS crystal
Rh 0.000 0.000 0.000
Rh 0.500 0.500 0.000
W 0.881 0.619 0.000
W 0.119 0.381 0.000
W 0.381 0.881 0.000
W 0.619 0.119 0.000
Sn 0.322 0.178 0.500
Sn 0.678 0.822 0.500
Sn 0.822 0.322 0.500
Sn 0.178 0.678 0.500
CELL_PARAMETERS angstrom
7.416 0.000 0.000
0.000 7.416 0.000
0.000 0.000 3.464
! Uncorrected energy = -7.61 eV/atom
! Formation energy = 0.64 eV per atom
! Relative energy among the computed polymorphs = 0.0 meV per atom

=====

9.
! Sn3RhW PBE optimized geometry; values from VASP
&SYSTEM
  ibrav = 0, nat = 5, ntyp = 3
/
ATOMIC_SPECIES
Sn 118.71 Sn.upf
W 183.84 W.upf
Rh 102.91 Rh.upf
ATOMIC_POSITIONS crystal
Sn 0.000 0.000 0.500
Sn 0.000 0.500 0.000
Sn 0.500 0.000 0.000
W 0.500 0.500 0.500
Rh 0.000 0.000 0.000
CELL_PARAMETERS angstrom
-4.877 -1.246 0.525
1.236 -3.315 3.619
-0.547 3.616 3.499
! Uncorrected energy = -5.44 eV/atom
! Formation energy = 1.02 eV per atom
! Relative energy among the computed polymorphs = 18.8 meV per atom

=====

10.
! Sn3RhW PBE optimized geometry; values from VASP
&SYSTEM
  ibrav = 0, nat = 5, ntyp = 3
/
ATOMIC_SPECIES
W 183.84 W.upf
Sn 118.71 Sn.upf
Rh 102.91 Rh.upf
ATOMIC_POSITIONS crystal
W 0.000 0.000 0.000
Sn 0.000 0.000 0.500
Sn 0.500 0.000 0.000
Sn 0.000 0.500 0.000
Rh 0.500 0.500 0.500
CELL_PARAMETERS angstrom
5.201 0.000 0.000
0.000 5.201 0.000
0.000 0.000 5.201
! Uncorrected energy = -5.46 eV/atom
! Formation energy = 1.00 eV per atom
! Relative energy among the computed polymorphs = 0.0 meV per atom

=====

11.
! SnRhW PBE optimized geometry; values from VASP
&SYSTEM
  ibrav = 0, nat = 6, ntyp = 3
/
ATOMIC_SPECIES
W 183.84 W.upf
Rh 102.91 Rh.upf
Sn 118.71 Sn.upf
ATOMIC_POSITIONS crystal
W 0.611 0.222 0.340
W 0.611 0.222 0.660
Rh 0.611 0.221 0.000
Rh 0.278 0.556 0.500
Sn 0.278 0.555 0.161
Sn 0.278 0.555 0.839
CELL_PARAMETERS angstrom
3.021 0.000 0.000
-1.510 2.618 0.000
0.000 0.000 13.017
! Uncorrected energy = -7.93 eV/atom
! Formation energy = 0.18 eV per atom

=====

12.
! Sn2RhW2 PBE optimized geometry; values from VASP
&SYSTEM
  ibrav = 0, nat = 10, ntyp = 3
/
ATOMIC_SPECIES
Sn 118.71 Sn.upf
Rh 102.91 Rh.upf
W 183.84 W.upf
ATOMIC_POSITIONS crystal
Sn 0.819 0.681 0.000
Sn 0.681 0.181 0.000
Sn 0.319 0.819 0.000
Sn 0.181 0.319 0.000
Rh 0.500 0.500 0.000
Rh 0.000 0.000 0.000
W 0.113 0.613 0.500
W 0.887 0.387 0.500
W 0.613 0.887 0.500
W 0.387 0.113 0.500
CELL_PARAMETERS angstrom
7.820 0.000 0.000
0.000 7.820 0.000
0.000 0.000 3.126
! Uncorrected energy = -7.57 eV/atom
! Formation energy = 0.68 eV per atom
! Relative energy among the computed polymorphs = 38.9 meV per atom